Entry 1:
First-principles (PBE) data for a relaxed Na2NiS8 crystal, as listed in Alexandria via LeMat-Bulk.

Cell: 14.350 11.179 8.750 Å, 31.15 34.98 23.10°
Positions (direct):
S 0.891 0.212 0.260
S 0.626 0.638 0.537
S 0.901 0.403 0.834
S 0.109 0.788 0.740
S 0.099 0.597 0.166
S 0.019 0.787 0.427
S 0.374 0.362 0.463
S 0.981 0.213 0.573
Ni 0.000 0.000 0.000
Na 0.412 0.830 0.916
Na 0.588 0.170 0.084

## Properties
DFT total energy   -4.0536 eV/atom
Formation energy from raw total energies   -0.286 eV/atom

---

Entry 2:
First-principles (PBE) data for a relaxed Na2TaTl3Te6 crystal, as listed in Alexandria via LeMat-Bulk.

Cell: 7.906 7.906 7.806 Å, 99.95 99.95 120.49°
Positions (direct):
Te 0.228 0.228 0.787
Te 0.772 0.772 0.213
Te 0.927 0.634 0.781
Te 0.366 0.073 0.219
Te 0.073 0.366 0.219
Te 0.634 0.927 0.781
Tl 0.157 0.843 0.500
Tl 0.843 0.157 0.500
Tl 0.500 0.500 0.500
Ta 0.000 0.000 0.000
Na 0.332 0.668 0.000
Na 0.668 0.332 0.000

## Properties
DFT total energy   -3.7583 eV/atom
Formation energy from raw total energies   -0.388 eV/atom

---

Entry 3:
First-principles (PBE) data for a relaxed Ta2C2O crystal, as listed in Alexandria via LeMat-Bulk.

Cell: 5.873 5.873 2.997 Å, 90.00 90.00 90.00°
Positions (direct):
Ta 0.201 0.299 0.000
Ta 0.299 0.799 0.000
Ta 0.701 0.201 0.000
Ta 0.799 0.701 0.000
C 0.592 0.908 0.500
C 0.092 0.592 0.500
C 0.408 0.092 0.500
C 0.908 0.408 0.500
O 0.500 0.500 0.000
O 0.000 0.000 0.000

## Properties
DFT total energy   -10.1270 eV/atom
Formation energy from raw total energies   -0.705 eV/atom
E above lowest polymorph   0.000 eV/atom